[1]
Density functional theory data (PBE-GGA) for a geometry-optimized La4Nd3Ga structure.

## Properties
formation energy from the elements	-0.122	eV per atom
energy	-4.752	eV per atom
spin magnetization	0.0	Bohr magnetons per cell
calculated volume	34.1	Å³ per atom

Lattice parameters (Å, degrees): 3.761 3.761 19.305 90.00 90.00 90.00
Space group P4/mmm (No. 123)
One atom of each set of equivalent atoms:
La1 0.000 0.000 0.094 [2 per cell]
La2 0.000 0.000 0.366 [2 per cell]
Nd1 0.500 0.500 0.233 [2 per cell]
Nd2 0.500 0.500 0.500 [1 per cell]
Ga1 0.500 0.500 0.000 [1 per cell]



[2]
Density functional theory data (PBE-GGA) for a geometry-optimized BaTlNiBi2 structure.

## Properties
formation energy from the elements	-0.229	eV per atom
energy	-3.795	eV per atom
spin magnetization	0.0	Bohr magnetons per cell
calculated volume	30.7	Å³ per atom

Lattice parameters (Å, degrees): 5.439 5.439 5.197 90.00 90.00 90.00
Space group P4/mmm (No. 123)
One atom of each set of equivalent atoms:
Ba1 0.000 0.000 0.000 [1 per cell]
Tl1 0.500 0.500 0.000 [1 per cell]
Ni1 0.500 0.500 0.500 [1 per cell]
Bi1 0.000 0.500 0.500 [2 per cell]



[3]
Density functional theory data (PBE-GGA) for a geometry-optimized Ta2Tl3BiO9 structure.

## Properties
uncorrected formation energy	-25.0	eV/f.u.
energy	-6.953	eV per atom
spin magnetization	0.0	Bohr magnetons per cell
calculated volume	14.7	Å³ per atom

Lattice parameters (Å, degrees): 5.9061 5.9061 7.3104 90.00 90.00 120.00
Space group P-3m1 (No. 164)
One atom of each set of equivalent atoms:
Ta1 0.3333 0.6667 0.1579 [2 per cell]
Tl1 0.0000 0.0000 0.0000 [1 per cell]
Tl2 0.3333 0.6667 0.6656 [2 per cell]
Bi1 0.0000 0.0000 0.5000 [1 per cell]
O1 0.0000 0.5000 0.0000 [3 per cell]
O2 0.1753 0.3507 0.3122 [6 per cell]



[4]
Density functional theory data (PBE-GGA) for a geometry-optimized Sm2Dy2Ir3 structure.

## Properties
formation energy from the elements	-0.757	eV per atom
energy	-7.218	eV per atom
ΔE to the lowest computed polymorph	0.000	eV/atom
spin magnetization	0.0	Bohr magnetons per cell
calculated volume	23.4	Å³ per atom

Lattice parameters (Å, degrees): 4.8372 4.8372 24.2223 90.00 90.00 120.00
Space group R-3m (No. 166, hexagonal axes)
One atom of each set of equivalent atoms:
Sm1 0.0000 0.0000 0.1245 [6 per cell]
Dy1 0.0000 0.0000 0.3745 [6 per cell]
Ir1 0.0000 0.0000 0.0000 [3 per cell]
Ir2 0.0000 0.0000 0.2515 [6 per cell]